No. 1
# Mg2C PBE-GGA optimized geometry
# DFT formation energy   1630 meV/atom
# Raw total energy   -2.508 eV per atom
# Energy above the most stable polymorph in this dataset   1.381 eV/atom
data_Mg2C
_chemical_formula_sum 'Mg2 C1'
_cell_length_a 4.424
_cell_length_b 4.424
_cell_length_c 2.784
_cell_angle_alpha 90.00
_cell_angle_beta 90.00
_cell_angle_gamma 120.00
_space_group_name_H-M_alt 'P 1'
_space_group_IT_number 1
_space_group_name_Hall 'P 1'
loop_
_atom_site_label
_atom_site_fract_x
_atom_site_fract_y
_atom_site_fract_z
C1 0.000 0.000 0.000
Mg1 0.333 0.667 0.500
Mg2 0.667 0.333 0.500



No. 2
# ScTiSi2 PBE-GGA optimized geometry
# Raw total energy   -6.540 eV per atom
# ΔE_f (raw)   -272 meV/atom
# Energy above the most stable polymorph in this dataset   0.032 eV/atom
data_ScTiSi2
_chemical_formula_sum 'Sc2 Ti2 Si4'
_cell_length_a 7.056
_cell_length_b 7.056
_cell_length_c 5.737
_cell_angle_alpha 52.05
_cell_angle_beta 52.05
_cell_angle_gamma 90.00
_space_group_name_H-M_alt 'P 1'
_space_group_IT_number 1
_space_group_name_Hall 'P 1'
loop_
_atom_site_label
_atom_site_fract_x
_atom_site_fract_y
_atom_site_fract_z
Ti1 0.750 0.250 0.500
Ti2 0.000 0.000 0.000
Sc1 0.500 0.500 0.000
Sc2 0.250 0.750 0.500
Si1 0.875 0.889 0.750
Si2 0.375 0.361 0.750
Si3 0.639 0.125 0.250
Si4 0.111 0.625 0.250



No. 3
# Cr2Sb2S PBE-GGA optimized geometry
# Raw total energy   -6.126 eV per atom
# ΔE_f (raw)   198 meV/atom
# Energy above the most stable polymorph in this dataset   0.000 eV/atom
data_Cr2Sb2S
_chemical_formula_sum 'Cr4 Sb4 S2'
_cell_length_a 6.334
_cell_length_b 6.334
_cell_length_c 5.073
_cell_angle_alpha 90.00
_cell_angle_beta 90.00
_cell_angle_gamma 90.00
_space_group_name_H-M_alt 'P 1'
_space_group_IT_number 1
_space_group_name_Hall 'P 1'
loop_
_atom_site_label
_atom_site_fract_x
_atom_site_fract_y
_atom_site_fract_z
Sb1 0.176 0.676 0.500
Sb2 0.676 0.824 0.500
Sb3 0.824 0.324 0.500
Sb4 0.324 0.176 0.500
Cr1 0.329 0.829 0.000
Cr2 0.171 0.329 0.000
Cr3 0.671 0.171 0.000
Cr4 0.829 0.671 0.000
S1 0.500 0.500 0.000
S2 0.000 0.000 0.000



No. 4
# K4ClO12 PBE-GGA optimized geometry
# Raw total energy   -4.578 eV per atom
# ΔE_f (raw)   -711 meV/atom
data_K4ClO12
_chemical_formula_sum 'K4 Cl1 O12'
_cell_length_a 7.389
_cell_length_b 7.389
_cell_length_c 7.389
_cell_angle_alpha 109.47
_cell_angle_beta 109.47
_cell_angle_gamma 109.47
_space_group_name_H-M_alt 'P 1'
_space_group_IT_number 1
_space_group_name_Hall 'P 1'
loop_
_atom_site_label
_atom_site_fract_x
_atom_site_fract_y
_atom_site_fract_z
O1 0.425 0.304 0.880
O2 0.425 0.545 0.120
O3 0.575 0.696 0.120
O4 0.120 0.575 0.696
O5 0.455 0.880 0.575
O6 0.696 0.120 0.575
O7 0.575 0.455 0.880
O8 0.120 0.425 0.545
O9 0.545 0.120 0.425
O10 0.880 0.575 0.455
O11 0.304 0.880 0.425
O12 0.880 0.425 0.304
K1 0.000 0.000 0.500
K2 0.500 0.000 0.000
K3 0.500 0.500 0.500
K4 0.000 0.500 0.000
Cl1 0.000 0.000 0.000



No. 5
# TbUSb2 PBE-GGA optimized geometry
# Raw total energy   -6.707 eV per atom
# ΔE_f (raw)   -666 meV/atom
# Energy above the most stable polymorph in this dataset   0.000 eV/atom
data_TbUSb2
_chemical_formula_sum 'Tb1 U1 Sb2'
_cell_length_a 4.340
_cell_length_b 4.340
_cell_length_c 7.737
_cell_angle_alpha 90.01
_cell_angle_beta 106.28
_cell_angle_gamma 119.99
_space_group_name_H-M_alt 'P 1'
_space_group_IT_number 1
_space_group_name_Hall 'P 1'
loop_
_atom_site_label
_atom_site_fract_x
_atom_site_fract_y
_atom_site_fract_z
U1 0.500 0.250 0.750
Sb1 0.000 0.500 0.500
Sb2 0.000 0.000 0.000
Tb1 0.500 0.750 0.250



No. 6
# Rb2HoGe2S6 PBE-GGA optimized geometry
# Raw total energy   -4.595 eV per atom
# ΔE_f (raw)   -912 meV/atom
data_Rb2HoGe2S6
_chemical_formula_sum 'Rb2 Ho1 Ge2 S6'
_cell_length_a 7.301
_cell_length_b 6.678
_cell_length_c 8.450
_cell_angle_alpha 104.54
_cell_angle_beta 90.00
_cell_angle_gamma 123.13
_space_group_name_H-M_alt 'P 1'
_space_group_IT_number 1
_space_group_name_Hall 'P 1'
loop_
_atom_site_label
_atom_site_fract_x
_atom_site_fract_y
_atom_site_fract_z
S1 0.250 0.500 0.458
S2 0.293 0.076 0.759
S3 0.750 0.500 0.542
S4 0.783 0.076 0.759
S5 0.707 0.924 0.241
S6 0.217 0.924 0.241
Ge1 0.043 0.086 0.373
Ge2 0.957 0.914 0.627
Ho1 0.500 0.000 0.500
Rb1 0.692 0.384 0.131
Rb2 0.308 0.616 0.869



No. 7
# ZrTiAs PBE-GGA optimized geometry
# DFT formation energy   -833 meV/atom
# Raw total energy   -7.864 eV per atom
data_ZrTiAs
_chemical_formula_sum 'Zr4 Ti4 As4'
_cell_length_a 3.899
_cell_length_b 3.765
_cell_length_c 14.800
_cell_angle_alpha 90.00
_cell_angle_beta 90.00
_cell_angle_gamma 90.00
_space_group_name_H-M_alt 'P 1'
_space_group_IT_number 1
_space_group_name_Hall 'P 1'
loop_
_atom_site_label
_atom_site_fract_x
_atom_site_fract_y
_atom_site_fract_z
Zr1 0.000 0.000 0.362
Zr2 0.000 0.500 0.544
Zr3 0.500 0.500 0.862
Zr4 0.500 0.000 0.044
Ti1 0.000 0.000 0.862
Ti2 0.000 0.500 0.187
Ti3 0.500 0.000 0.687
Ti4 0.500 0.500 0.362
As1 0.000 0.500 0.727
As2 0.500 0.000 0.502
As3 0.000 0.500 0.002
As4 0.500 0.000 0.227



No. 8
# PmAsSe PBE-GGA optimized geometry
# Raw total energy   -5.764 eV per atom
# ΔE_f (raw)   -1469 meV/atom
# Energy above the most stable polymorph in this dataset   0.000 eV/atom
data_PmAsSe
_chemical_formula_sum 'Pm4 As4 Se4'
_cell_length_a 4.053
_cell_length_b 3.983
_cell_length_c 17.964
_cell_angle_alpha 90.00
_cell_angle_beta 90.00
_cell_angle_gamma 90.00
_space_group_name_H-M_alt 'P 1'
_space_group_IT_number 1
_space_group_name_Hall 'P 1'
loop_
_atom_site_label
_atom_site_fract_x
_atom_site_fract_y
_atom_site_fract_z
As1 0.704 0.750 0.998
As2 0.796 0.750 0.498
As3 0.204 0.250 0.502
As4 0.296 0.250 0.002
Pm1 0.231 0.750 0.860
Pm2 0.731 0.250 0.640
Pm3 0.269 0.750 0.360
Pm4 0.769 0.250 0.140
Se1 0.734 0.250 0.813
Se2 0.266 0.750 0.187
Se3 0.766 0.250 0.313
Se4 0.234 0.750 0.687



No. 9
# AcPmPbI PBE-GGA optimized geometry
# Raw total energy   -4.208 eV per atom
# ΔE_f (raw)   -679 meV/atom
data_AcPmPbI
_chemical_formula_sum 'Ac1 Pm1 Pb1 I1'
_cell_length_a 5.724
_cell_length_b 5.724
_cell_length_c 5.724
_cell_angle_alpha 60.00
_cell_angle_beta 60.00
_cell_angle_gamma 60.00
_space_group_name_H-M_alt 'P 1'
_space_group_IT_number 1
_space_group_name_Hall 'P 1'
loop_
_atom_site_label
_atom_site_fract_x
_atom_site_fract_y
_atom_site_fract_z
Ac1 0.500 0.500 0.500
Pm1 0.000 0.000 0.000
I1 0.750 0.750 0.750
Pb1 0.250 0.250 0.250



No. 10
# BaCa2Fe2 PBE-GGA optimized geometry
# DFT formation energy   768 meV/atom
# Raw total energy   -3.802 eV per atom
# Energy above the most stable polymorph in this dataset   0.000 eV/atom
data_BaCa2Fe2
_chemical_formula_sum 'Ba1 Ca2 Fe2'
_cell_length_a 5.249
_cell_length_b 5.249
_cell_length_c 6.795
_cell_angle_alpha 67.28
_cell_angle_beta 67.28
_cell_angle_gamma 90.00
_space_group_name_H-M_alt 'P 1'
_space_group_IT_number 1
_space_group_name_Hall 'P 1'
loop_
_atom_site_label
_atom_site_fract_x
_atom_site_fract_y
_atom_site_fract_z
Ca1 0.658 0.658 0.683
Ca2 0.342 0.342 0.317
Fe1 0.750 0.250 0.500
Fe2 0.250 0.750 0.500
Ba1 0.000 0.000 0.000



No. 11
# ReIr3 PBE-GGA optimized geometry
# DFT formation energy   -109 meV/atom
# Raw total energy   -9.867 eV per atom
# Energy above the most stable polymorph in this dataset   0.042 eV/atom
data_ReIr3
_chemical_formula_sum 'Re2 Ir6'
_cell_length_a 3.874
_cell_length_b 3.874
_cell_length_c 8.241
_cell_angle_alpha 103.59
_cell_angle_beta 103.59
_cell_angle_gamma 90.00
_space_group_name_H-M_alt 'P 1'
_space_group_IT_number 1
_space_group_name_Hall 'P 1'
loop_
_atom_site_label
_atom_site_fract_x
_atom_site_fract_y
_atom_site_fract_z
Ir1 0.121 0.121 0.242
Ir2 0.000 0.500 0.000
Ir3 0.250 0.750 0.500
Ir4 0.750 0.250 0.500
Ir5 0.879 0.879 0.758
Ir6 0.500 0.000 0.000
Re1 0.372 0.372 0.743
Re2 0.628 0.628 0.257



No. 12
# Ac2HoPd2 PBE-GGA optimized geometry
# DFT formation energy   -662 meV/atom
# Raw total energy   -5.298 eV per atom
data_Ac2HoPd2
_chemical_formula_sum 'Ac4 Ho2 Pd4'
_cell_length_a 4.292
_cell_length_b 8.166
_cell_length_c 8.166
_cell_angle_alpha 90.00
_cell_angle_beta 90.00
_cell_angle_gamma 90.00
_space_group_name_H-M_alt 'P 1'
_space_group_IT_number 1
_space_group_name_Hall 'P 1'
loop_
_atom_site_label
_atom_site_fract_x
_atom_site_fract_y
_atom_site_fract_z
Ho1 0.000 0.000 0.000
Ho2 0.000 0.500 0.500
Ac1 0.500 0.830 0.330
Ac2 0.500 0.670 0.830
Ac3 0.500 0.330 0.170
Ac4 0.500 0.170 0.670
Pd1 0.000 0.633 0.133
Pd2 0.000 0.367 0.867
Pd3 0.000 0.867 0.633
Pd4 0.000 0.133 0.367